No. 1
## PrDyLuZr (PBE)

Data for a geometry-optimized PrDyLuZr structure.

## Properties
E	-21.59	eV/cell
spin magnetization	1.047	μB per formula unit
density	8.02	g cm⁻³
DOS at the Fermi energy	7.15	states/eV per cell

abc: 5.5041 5.5041 5.5041
angles: 60.00 60.00 60.00
Each line ends with the local moment (μB).
Atoms (fractional coordinates):
Dy1 0.0000 0.0000 0.0000  -0.15
Pr1 0.7500 0.7500 0.7500  0.03
Lu1 0.5000 0.5000 0.5000  -0.09
Zr1 0.2500 0.2500 0.2500  -0.49


No. 2
## AcPrGeRu (PBE)

Data for a geometry-optimized AcPrGeRu structure.

## Properties
E	-23.60	eV/cell
spin magnetization	0.000	μB per formula unit
density	8.69	g cm⁻³
DOS at the Fermi energy	2.55	states/eV per cell

abc: 5.2698 5.2698 5.2698
angles: 60.00 60.00 60.00
Atoms (fractional coordinates):
Ge1 0.2500 0.2500 0.2500
Ac1 0.0000 0.0000 0.0000
Pr1 0.5000 0.5000 0.5000
Ru1 0.7500 0.7500 0.7500


No. 3
## SrPaSn6 (PBE)

Data for a geometry-optimized SrPaSn6 structure.

## Properties
E	-37.81	eV/cell
spin magnetization	0.000	μB per formula unit
density	7.99	g cm⁻³
DOS at the Fermi energy	6.93	states/eV per cell

abc: 4.7154 4.7154 9.6335
angles: 90.00 90.00 90.00
Atoms (fractional coordinates):
Sn1 0.5000 0.0000 0.7416
Pa1 0.0000 0.0000 0.5000
Sr1 0.0000 0.0000 0.0000
Sn2 0.5000 0.5000 0.5000
Sn3 0.0000 0.5000 0.2584
Sn4 0.5000 0.5000 0.0000
Sn5 0.5000 0.0000 0.2584
Sn6 0.0000 0.5000 0.7416


No. 4
## CuRh (PBE)

Data for a geometry-optimized CuRh structure.

## Properties
E	-33.93	eV/cell
spin magnetization	0.001	μB per formula unit
density	10.38	g cm⁻³
DOS at the Fermi energy	9.30	states/eV per cell

abc: 5.1141 5.1141 10.1952
angles: 141.10 141.10 30.46
Atoms (fractional coordinates):
Rh1 0.3355 0.3355 0.6679
Rh2 0.7733 0.7733 0.0544
Cu1 0.6686 0.6686 0.3305
Cu2 0.9940 0.9940 0.0009
Rh3 0.4486 0.4486 0.3901
Cu3 0.1133 0.1133 0.7229